1.
DFT (PBE) results for NaNpAg2Te4 after structural relaxation.

Properties
The formation energy without anion corrections comes out at -246 meV per atom.

The structure in extended XYZ format:
```
8
Lattice="7.739 0.000 0.000 3.869 5.441 -0.440 3.869 0.008 5.459" Properties=species:S:1:pos:R:3 pbc="T T T"
Na 0.000 0.000 0.000
Np 7.739 2.724 2.510
Ag 3.869 1.659 1.528
Ag 11.608 3.790 3.491
Te 5.806 0.262 2.931
Te 5.806 5.187 2.088
Te 9.671 2.943 0.020
Te 9.671 2.506 4.999
```



2.
DFT (PBE) results for TaHPd4 after structural relaxation.

The structure in extended XYZ format:
```
12
Lattice="6.459 -0.552 0.000 -3.113 5.686 0.000 -1.673 -2.567 5.712" Properties=species:S:1:pos:R:3 pbc="T T T"
Ta 0.558 0.856 0.000
Ta 3.787 0.580 2.856
H 2.230 3.422 0.000
H -0.999 3.698 2.856
Pd -2.435 3.460 3.929
Pd 1.994 1.094 4.640
Pd 2.592 2.012 1.073
Pd 1.753 -0.577 1.784
Pd -0.879 0.617 4.639
Pd 3.550 -1.748 3.929
Pd 4.982 -0.853 1.073
Pd -0.637 2.288 1.783
```



no.,DFT total energy (eV/cell)
1,-34.50
2,-70.69